Computed, not measured: a geometry-optimized TmGeSb structure at the PBE level of DFT. Values from VASP.

Cell and atoms, written as Quantum ESPRESSO input:
```
&SYSTEM
  ibrav = 0, nat = 6, ntyp = 3
/
ATOMIC_SPECIES
Sb 121.76 Sb.upf
Tm 168.93 Tm.upf
Ge 72.64 Ge.upf
CELL_PARAMETERS angstrom
4.079 0.000 0.000
0.000 4.184 -1.089
0.000 -0.073 8.299
ATOMIC_POSITIONS crystal
Sb 0.750 0.252 0.503
Sb 0.250 0.748 0.497
Tm 0.750 0.902 0.805
Tm 0.250 0.098 0.195
Ge 0.750 0.553 0.106
Ge 0.250 0.447 0.894
```

## Properties
For the total magnetic moment, the calculation gives 0.00 Bohr magnetons per cell. The uncorrected formation energy comes out at -0.646 eV/atom. Its theoretical density is 8.539 Mg/m³. Its space-group type is Cmcm (63).